No. 1
Computed, not measured: a relaxed GeHF crystal at the PBE-GGA level of DFT.

**E above lowest polymorph**: 0.68 kcal/mol of atoms
**M_tot**: 0.00 μB/atom

Unit cell a=4.777 b=4.777 c=5.352 alpha=95.90 beta=95.90 gamma=52.50
Sites, in units of the cell vectors:
Ge1 0.000 0.000 0.000
Ge2 0.548 0.548 0.235
H1 0.500 0.500 0.502
H2 0.861 0.861 0.794
F1 0.168 0.168 0.822
F2 0.762 0.762 0.290

=====

No. 2
Computed, not measured: a relaxed Pm3Fe3Bi crystal at the PBE-GGA level of DFT.

**Formation enthalpy at 0 K**: -4.74 kcal/mol of atoms
**M_tot**: 0.79 μB/atom

Unit cell a=9.579 b=9.579 c=4.254 alpha=90.00 beta=90.00 gamma=120.00
Sites, in units of the cell vectors:
Pm1 0.073 0.390 0.250
Pm2 0.317 0.927 0.250
Pm3 0.390 0.317 0.750
Pm4 0.610 0.683 0.250
Pm5 0.683 0.073 0.750
Pm6 0.927 0.610 0.750
Fe1 0.016 0.150 0.750
Fe2 0.135 0.984 0.750
Fe3 0.150 0.135 0.250
Fe4 0.850 0.865 0.750
Fe5 0.865 0.016 0.250
Fe6 0.984 0.850 0.250
Bi1 0.333 0.667 0.750
Bi2 0.667 0.333 0.250

=====

No. 3
Computed, not measured: a relaxed Re3Se crystal at the PBE-GGA level of DFT.

**E above lowest polymorph**: 2.05 kcal/mol of atoms
**M_tot**: 0.00 μB/atom
**Energy relative to the elements, uncorrected**: 395 meV/atom

Unit cell a=5.271 b=8.659 c=5.598 alpha=90.00 beta=90.00 gamma=90.00
Sites, in units of the cell vectors:
Re1 0.128 0.250 0.166
Re2 0.156 0.015 0.820
Re3 0.156 0.485 0.820
Re4 0.344 0.515 0.320
Re5 0.344 0.985 0.320
Re6 0.372 0.750 0.666
Re7 0.628 0.250 0.334
Re8 0.656 0.015 0.680
Re9 0.656 0.485 0.680
Re10 0.844 0.515 0.180
Re11 0.844 0.985 0.180
Re12 0.872 0.750 0.834
Se1 0.019 0.250 0.598
Se2 0.481 0.750 0.098
Se3 0.519 0.250 0.902
Se4 0.981 0.750 0.402

=====

No. 4
Computed, not measured: a relaxed Dy6Ho2ErMg crystal at the PBE-GGA level of DFT.

**Formation enthalpy at 0 K**: 2.62 kcal/mol of atoms
**M_tot**: 0.00 μB/atom

Unit cell a=10.878 b=10.878 c=6.557 alpha=94.29 beta=94.29 gamma=125.86
Sites, in units of the cell vectors:
Dy1 0.084 0.564 0.279
Dy2 0.084 0.793 0.968
Dy3 0.207 0.916 0.532
Dy4 0.302 0.470 0.020
Dy5 0.436 0.916 0.221
Dy6 0.470 0.302 0.520
Dy7 0.530 0.698 0.480
Dy8 0.564 0.084 0.779
Dy9 0.698 0.530 0.980
Dy10 0.793 0.084 0.468
Dy11 0.916 0.207 0.032
Dy12 0.916 0.436 0.721
Ho1 0.178 0.346 0.504
Ho2 0.346 0.178 0.004
Ho3 0.654 0.822 0.996
Ho4 0.822 0.654 0.496
Er1 0.008 0.992 0.250
Er2 0.992 0.008 0.750
Mg1 0.295 0.705 0.750
Mg2 0.705 0.295 0.250